No. 1
# Pr12Cd3H5 GGA-PBE optimized geometry
# Total magnetic moment: 0.000 μB/atom
# Uncorrected energy: -4.03 eV per atom
data_Pr12Cd3H5
_chemical_formula_sum 'Pr48 Cd12 H20'
_cell_length_a 14.1051
_cell_length_b 14.1051
_cell_length_c 14.1051
_cell_angle_alpha 109.47
_cell_angle_beta 109.47
_cell_angle_gamma 109.47
_space_group_name_H-M_alt 'P 1'
_space_group_IT_number 1
_space_group_name_Hall 'P 1'
loop_
_atom_site_label
_atom_site_fract_x
_atom_site_fract_y
_atom_site_fract_z
Pr1 0.0130 0.2052 0.1077
Pr2 0.0130 0.3079 0.9053
Pr3 0.0947 0.6077 0.4025
Pr4 0.0947 0.9870 0.6921
Pr5 0.0975 0.7052 0.6921
Pr6 0.0975 0.8923 0.4053
Pr7 0.1077 0.0130 0.2052
Pr8 0.1077 0.5947 0.9025
Pr9 0.1921 0.2052 0.5975
Pr10 0.1921 0.4870 0.5947
Pr11 0.2052 0.1077 0.0130
Pr12 0.2052 0.5975 0.1921
Pr13 0.2948 0.3079 0.9025
Pr14 0.2948 0.4870 0.3923
Pr15 0.3079 0.9025 0.2948
Pr16 0.3079 0.9053 0.0130
Pr17 0.3923 0.2948 0.4870
Pr18 0.3923 0.5975 0.9053
Pr19 0.4025 0.0947 0.6077
Pr20 0.4025 0.8079 0.7948
Pr21 0.4053 0.0975 0.8923
Pr22 0.4053 0.8079 0.5130
Pr23 0.4870 0.3923 0.2948
Pr24 0.4870 0.5947 0.1921
Pr25 0.5130 0.4053 0.8079
Pr26 0.5130 0.6077 0.7052
Pr27 0.5947 0.1921 0.4870
Pr28 0.5947 0.9025 0.1077
Pr29 0.5975 0.1921 0.2052
Pr30 0.5975 0.9053 0.3923
Pr31 0.6077 0.4025 0.0947
Pr32 0.6077 0.7052 0.5130
Pr33 0.6921 0.0947 0.9870
Pr34 0.6921 0.0975 0.7052
Pr35 0.7052 0.5130 0.6077
Pr36 0.7052 0.6921 0.0975
Pr37 0.7948 0.4025 0.8079
Pr38 0.7948 0.8923 0.9870
Pr39 0.8079 0.5130 0.4053
Pr40 0.8079 0.7948 0.4025
Pr41 0.8923 0.4053 0.0975
Pr42 0.8923 0.9870 0.7948
Pr43 0.9025 0.1077 0.5947
Pr44 0.9025 0.2948 0.3079
Pr45 0.9053 0.0130 0.3079
Pr46 0.9053 0.3923 0.5975
Pr47 0.9870 0.6921 0.0947
Pr48 0.9870 0.7948 0.8923
Cd1 0.1250 0.2500 0.3750
Cd2 0.1250 0.3750 0.7500
Cd3 0.2500 0.3750 0.1250
Cd4 0.2500 0.8750 0.6250
Cd5 0.3750 0.1250 0.2500
Cd6 0.3750 0.7500 0.1250
Cd7 0.6250 0.2500 0.8750
Cd8 0.6250 0.8750 0.7500
Cd9 0.7500 0.1250 0.3750
Cd10 0.7500 0.6250 0.8750
Cd11 0.8750 0.6250 0.2500
Cd12 0.8750 0.7500 0.6250
H1 0.0000 0.0000 0.0000
H2 0.0000 0.0000 0.5000
H3 0.0000 0.5000 0.0000
H4 0.0000 0.5000 0.5000
H5 0.1250 0.7500 0.8750
H6 0.1250 0.8750 0.2500
H7 0.2500 0.1250 0.8750
H8 0.2500 0.6250 0.3750
H9 0.3750 0.2500 0.6250
H10 0.3750 0.6250 0.7500
H11 0.5000 0.0000 0.0000
H12 0.5000 0.0000 0.5000
H13 0.5000 0.5000 0.0000
H14 0.5000 0.5000 0.5000
H15 0.6250 0.3750 0.2500
H16 0.6250 0.7500 0.3750
H17 0.7500 0.3750 0.6250
H18 0.7500 0.8750 0.1250
H19 0.8750 0.1250 0.7500
H20 0.8750 0.2500 0.1250

***

No. 2
# PrCdH6Pt2 GGA-PBE optimized geometry
# Total magnetic moment: 0.000 μB/atom
# Uncorrected energy: -4.07 eV per atom
data_PrCdH6Pt2
_chemical_formula_sum 'Pr2 Cd2 H12 Pt4'
_cell_length_a 5.6042
_cell_length_b 5.6042
_cell_length_c 8.5331
_cell_angle_alpha 101.40
_cell_angle_beta 101.40
_cell_angle_gamma 104.66
_space_group_name_H-M_alt 'P 1'
_space_group_IT_number 1
_space_group_name_Hall 'P 1'
loop_
_atom_site_label
_atom_site_fract_x
_atom_site_fract_y
_atom_site_fract_z
Pr1 0.0614 0.9386 0.7500
Pr2 0.9386 0.0614 0.2500
Cd1 0.3514 0.6486 0.2500
Cd2 0.6486 0.3514 0.7500
H1 0.1132 0.5450 0.8298
H2 0.1420 0.7220 0.4718
H3 0.2388 0.2767 0.0178
H4 0.2767 0.2388 0.5178
H5 0.2780 0.8580 0.0282
H6 0.4550 0.8868 0.6702
H7 0.5450 0.1132 0.3298
H8 0.7220 0.1420 0.9718
H9 0.7233 0.7612 0.4822
H10 0.7612 0.7233 0.9822
H11 0.8580 0.2780 0.5282
H12 0.8868 0.4550 0.1702
Pt1 0.1531 0.4042 0.6489
Pt2 0.4042 0.1531 0.1489
Pt3 0.5958 0.8469 0.8511
Pt4 0.8469 0.5958 0.3511

***

No. 3
# Pr2CdHPt6 GGA-PBE optimized geometry
# Total magnetic moment: 0.000 μB/atom
# Uncorrected energy: -5.63 eV per atom
data_Pr2CdHPt6
_chemical_formula_sum 'Pr2 Cd1 H1 Pt6'
_cell_length_a 5.7053
_cell_length_b 5.7053
_cell_length_c 7.3785
_cell_angle_alpha 112.62
_cell_angle_beta 112.62
_cell_angle_gamma 60.08
_space_group_name_H-M_alt 'P 1'
_space_group_IT_number 1
_space_group_name_Hall 'P 1'
loop_
_atom_site_label
_atom_site_fract_x
_atom_site_fract_y
_atom_site_fract_z
Pr1 0.2236 0.2236 0.1665
Pr2 0.7764 0.7764 0.8335
Cd1 0.5000 0.5000 0.0000
H1 0.0000 0.0000 0.5000
Pt1 0.2240 0.7193 0.6735
Pt2 0.2251 0.2251 0.6777
Pt3 0.2807 0.7760 0.3265
Pt4 0.7193 0.2240 0.6735
Pt5 0.7749 0.7749 0.3223
Pt6 0.7760 0.2807 0.3265

***

- Which of these has the lowest uncorrected energy?
  Pr2CdHPt6